Entry from Alexandria: a relaxed structure of HfTc3W2 (GGA-PBE).

Cell and atoms, written as CIF:
```
data_HfTc3W2
_space_group_name_H-M_alt 'P 4/m m m'
_space_group_IT_number 123
_space_group_name_Hall '-P 4 2'
_cell_length_a 3.161
_cell_length_b 3.161
_cell_length_c 9.615
_cell_angle_alpha 90.00
_cell_angle_beta 90.00
_cell_angle_gamma 90.00
loop_
_atom_site_label
_atom_site_type_symbol
_atom_site_fract_x
_atom_site_fract_y
_atom_site_fract_z
Hf1 Hf 0.000 0.000 0.000
Tc1 Tc 0.500 0.500 0.178
Tc2 Tc 0.500 0.500 0.500
W1 W 0.000 0.000 0.334
```

Values from the calculation:
* crystal system: tetragonal
* total moment: 0.00 μB per cell

***

Entry from Alexandria: a relaxed structure of Y2HfTc2 (GGA-PBE).

Cell and atoms, written as CIF:
```
data_Y2HfTc2
_space_group_name_H-M_alt 'P 4/m b m'
_space_group_IT_number 127
_space_group_name_Hall '-P 4 2ab'
_cell_length_a 6.887
_cell_length_b 6.887
_cell_length_c 4.708
_cell_angle_alpha 90.00
_cell_angle_beta 90.00
_cell_angle_gamma 90.00
loop_
_atom_site_label
_atom_site_type_symbol
_atom_site_fract_x
_atom_site_fract_y
_atom_site_fract_z
Y1 Y 0.176 0.324 0.000
Hf1 Hf 0.000 0.000 0.500
Tc1 Tc 0.125 0.625 0.500
```

Values from the calculation:
* crystal system: tetragonal
* total moment: 0.00 μB per cell

***

For the records above, the corresponding E_tot values read -0.8351 -0.6428 Ry per atom.
For the records above, the corresponding D(E_F) values read 0.485 0.886 states/eV per atom.